[1]
! Pm2TeI | the Alexandria database | PBE | optimized geometry; values from VASP
&SYSTEM
  ibrav = 0, nat = 4, ntyp = 3
/
ATOMIC_SPECIES
Pm 145.00 Pm.upf
Te 127.60 Te.upf
I 126.90 I.upf
CELL_PARAMETERS angstrom
2.068 1.194 8.530
-2.068 1.194 8.530
0.000 -2.388 8.530
ATOMIC_POSITIONS crystal
Pm 0.000 0.000 0.000
Pm 0.177 0.177 0.177
Te 0.589 0.589 0.589
I 0.755 0.755 0.755
! SG: No. 160
! Uncorrected formation energy: -1.093 eV per atom

***

[2]
! Pm3Te2I | the Alexandria database | PBE | optimized geometry; values from VASP
&SYSTEM
  ibrav = 0, nat = 12, ntyp = 3
/
ATOMIC_SPECIES
Pm 145.00 Pm.upf
Te 127.60 Te.upf
I 126.90 I.upf
CELL_PARAMETERS angstrom
4.240 0.000 0.000
-2.120 3.672 0.000
0.000 0.000 24.432
ATOMIC_POSITIONS crystal
Pm 0.000 0.000 0.000
Pm 0.000 0.000 0.500
Pm 0.333 0.667 0.157
Pm 0.333 0.667 0.343
Pm 0.667 0.333 0.657
Pm 0.667 0.333 0.843
Te 0.333 0.667 0.580
Te 0.333 0.667 0.920
Te 0.667 0.333 0.080
Te 0.667 0.333 0.420
I 0.000 0.000 0.250
I 0.000 0.000 0.750
! SG: No. 194
! Uncorrected formation energy: -1.198 eV per atom

***

[3]
! Pm4Te2I5 | the Alexandria database | PBE | optimized geometry; values from VASP
&SYSTEM
  ibrav = 0, nat = 11, ntyp = 3
/
ATOMIC_SPECIES
Pm 145.00 Pm.upf
Te 127.60 Te.upf
I 126.90 I.upf
CELL_PARAMETERS angstrom
-2.081 4.385 12.931
2.081 -4.385 12.931
2.081 4.385 -12.931
ATOMIC_POSITIONS crystal
Pm 0.130 0.130 0.000
Pm 0.204 0.500 0.704
Pm 0.796 0.500 0.296
Pm 0.870 0.870 0.000
Te 0.240 0.240 0.000
Te 0.760 0.760 0.000
I 0.151 0.381 0.770
I 0.389 0.619 0.770
I 0.500 0.000 0.500
I 0.611 0.381 0.230
I 0.849 0.619 0.230
! SG: No. 71
! Uncorrected formation energy: -0.800 eV per atom

***

no.,total moment (μB/atom)
1,0.000
2,0.000
3,0.138